Here is a geometry-optimized BaYIn2 structure from Alexandria. Energies are from GGA-PBE.

Calculated values
magnetization = 0.0000 μB/atom
formation energy = 0.067 eV/atom

```
data_BaYIn2
_chemical_formula_sum 'Ba4 Y4 In8'
_cell_length_a 5.529
_cell_length_b 5.529
_cell_length_c 21.403
_cell_angle_alpha 90.00
_cell_angle_beta 90.00
_cell_angle_gamma 90.00
_symmetry_space_group_name_H-M 'I -4 2 d'
_symmetry_Int_Tables_number 122
_symmetry_space_group_name_Hall 'I -4 2bw'
loop_
_atom_site_label
_atom_site_type_symbol
_atom_site_fract_x
_atom_site_fract_y
_atom_site_fract_z
Ba1 Ba 0.000 0.000 0.000
Y1 Y 0.000 0.000 0.500
In1 In 0.140 0.250 0.625
```


Here is a geometry-optimized Ba2YIn structure from Alexandria. Energies are from GGA-PBE.

Calculated values
magnetization = 0.0000 μB/atom
formation energy = 0.021 eV/atom

```
data_Ba2YIn
_chemical_formula_sum 'Ba4 Y2 In2'
_cell_length_a 8.297
_cell_length_b 9.023
_cell_length_c 4.305
_cell_angle_alpha 90.00
_cell_angle_beta 90.00
_cell_angle_gamma 90.00
_symmetry_space_group_name_H-M 'C m m m'
_symmetry_Int_Tables_number 65
_symmetry_space_group_name_Hall '-C 2 2'
loop_
_atom_site_label
_atom_site_type_symbol
_atom_site_fract_x
_atom_site_fract_y
_atom_site_fract_z
Ba1 Ba 0.250 0.250 0.000
Y1 Y 0.000 0.000 0.500
In1 In 0.000 0.500 0.500
```


Here is a geometry-optimized BaYIn2 structure from Alexandria. Energies are from GGA-PBE.

Calculated values
magnetization = 0.0000 μB/atom
formation energy = -0.140 eV/atom

```
data_BaYIn2
_chemical_formula_sum 'Ba1 Y1 In2'
_cell_length_a 5.650
_cell_length_b 3.875
_cell_length_c 6.833
_cell_angle_alpha 90.00
_cell_angle_beta 111.60
_cell_angle_gamma 90.00
_symmetry_space_group_name_H-M 'P 1 2/m 1'
_symmetry_Int_Tables_number 10
_symmetry_space_group_name_Hall '-P 2y'
loop_
_atom_site_label
_atom_site_type_symbol
_atom_site_fract_x
_atom_site_fract_y
_atom_site_fract_z
Ba1 Ba 0.000 0.000 0.000
Y1 Y 0.500 0.500 0.500
In1 In 0.000 0.000 0.500
In2 In 0.500 0.500 0.000
```


Here is a geometry-optimized BaYIn3 structure from Alexandria. Energies are from GGA-PBE.

Calculated values
energy above the lowest structure with this stoichiometry = 0.000 eV per atom
magnetization = 0.0944 μB/atom
formation energy = 0.021 eV/atom

```
data_BaYIn3
_chemical_formula_sum 'Ba1 Y1 In3'
_cell_length_a 5.845
_cell_length_b 5.845
_cell_length_c 5.845
_cell_angle_alpha 90.00
_cell_angle_beta 90.00
_cell_angle_gamma 90.00
_symmetry_space_group_name_H-M 'P m -3 m'
_symmetry_Int_Tables_number 221
_symmetry_space_group_name_Hall '-P 4 2 3'
loop_
_atom_site_label
_atom_site_type_symbol
_atom_site_fract_x
_atom_site_fract_y
_atom_site_fract_z
Ba1 Ba 0.000 0.000 0.000
Y1 Y 0.500 0.500 0.500
In1 In 0.000 0.500 0.500
```


Here is a geometry-optimized BaY2In structure from Alexandria. Energies are from GGA-PBE.

Calculated values
magnetization = 0.0011 μB/atom
formation energy = -0.031 eV/atom

```
data_BaY2In
_chemical_formula_sum 'Ba2 Y4 In2'
_cell_length_a 5.023
_cell_length_b 5.023
_cell_length_c 10.384
_cell_angle_alpha 90.00
_cell_angle_beta 90.00
_cell_angle_gamma 90.00
_symmetry_space_group_name_H-M 'I -4 m 2'
_symmetry_Int_Tables_number 119
_symmetry_space_group_name_Hall 'I -4 -2'
loop_
_atom_site_label
_atom_site_type_symbol
_atom_site_fract_x
_atom_site_fract_y
_atom_site_fract_z
Ba1 Ba 0.000 0.000 0.000
Y1 Y 0.000 0.000 0.500
Y2 Y 0.000 0.500 0.250
In1 In 0.000 0.500 0.750
```


Here is a geometry-optimized BaYIn2 structure from Alexandria. Energies are from GGA-PBE.

Calculated values
magnetization = 0.0004 μB/atom
formation energy = -0.142 eV/atom

```
data_BaYIn2
_chemical_formula_sum 'Ba1 Y1 In2'
_cell_length_a 3.781
_cell_length_b 3.781
_cell_length_c 9.413
_cell_angle_alpha 90.00
_cell_angle_beta 90.00
_cell_angle_gamma 90.00
_symmetry_space_group_name_H-M 'P 4 m m'
_symmetry_Int_Tables_number 99
_symmetry_space_group_name_Hall 'P 4 -2'
loop_
_atom_site_label
_atom_site_type_symbol
_atom_site_fract_x
_atom_site_fract_y
_atom_site_fract_z
Ba1 Ba 0.000 0.000 0.000
Y1 Y 0.500 0.500 0.659
In1 In 0.000 0.000 0.456
In2 In 0.500 0.500 0.271
```


Here is a geometry-optimized BaY2In structure from Alexandria. Energies are from GGA-PBE.

Calculated values
magnetization = 0.0744 μB/atom
formation energy = -0.037 eV/atom

```
data_BaY2In
_chemical_formula_sum 'Ba1 Y2 In1'
_cell_length_a 5.135
_cell_length_b 5.135
_cell_length_c 5.033
_cell_angle_alpha 90.00
_cell_angle_beta 90.00
_cell_angle_gamma 90.00
_symmetry_space_group_name_H-M 'P 4/m m m'
_symmetry_Int_Tables_number 123
_symmetry_space_group_name_Hall '-P 4 2'
loop_
_atom_site_label
_atom_site_type_symbol
_atom_site_fract_x
_atom_site_fract_y
_atom_site_fract_z
Ba1 Ba 0.000 0.000 0.000
Y1 Y 0.000 0.500 0.500
In1 In 0.500 0.500 0.000
```


Here is a geometry-optimized Ba2YIn structure from Alexandria. Energies are from GGA-PBE.

Calculated values
magnetization = 0.0001 μB/atom
formation energy = -0.068 eV/atom

```
data_Ba2YIn
_chemical_formula_sum 'Ba2 Y1 In1'
_cell_length_a 4.147
_cell_length_b 5.519
_cell_length_c 7.715
_cell_angle_alpha 90.00
_cell_angle_beta 105.42
_cell_angle_gamma 90.00
_symmetry_space_group_name_H-M 'P 1 m 1'
_symmetry_Int_Tables_number 6
_symmetry_space_group_name_Hall 'P -2y'
loop_
_atom_site_label
_atom_site_type_symbol
_atom_site_fract_x
_atom_site_fract_y
_atom_site_fract_z
Ba1 Ba 0.000 0.000 0.000
Ba2 Ba 0.318 0.500 0.639
Y1 Y 0.710 0.000 0.422
In1 In 0.604 0.500 0.211
```


Here is a geometry-optimized BaY2In structure from Alexandria. Energies are from GGA-PBE.

Calculated values
magnetization = 0.0000 μB/atom
formation energy = -0.125 eV/atom

```
data_BaY2In
_chemical_formula_sum 'Ba1 Y2 In1'
_cell_length_a 3.723
_cell_length_b 3.723
_cell_length_c 10.149
_cell_angle_alpha 90.00
_cell_angle_beta 90.00
_cell_angle_gamma 90.00
_symmetry_space_group_name_H-M 'P 4/m m m'
_symmetry_Int_Tables_number 123
_symmetry_space_group_name_Hall '-P 4 2'
loop_
_atom_site_label
_atom_site_type_symbol
_atom_site_fract_x
_atom_site_fract_y
_atom_site_fract_z
Ba1 Ba 0.000 0.000 0.000
Y1 Y 0.500 0.500 0.309
In1 In 0.000 0.000 0.500
```


Here is a geometry-optimized BaY2In structure from Alexandria. Energies are from GGA-PBE.

Calculated values
magnetization = 0.0014 μB/atom
formation energy = -0.121 eV/atom

```
data_BaY2In
_chemical_formula_sum 'Ba2 Y4 In2'
_cell_length_a 3.873
_cell_length_b 6.002
_cell_length_c 12.193
_cell_angle_alpha 90.00
_cell_angle_beta 90.00
_cell_angle_gamma 90.00
_symmetry_space_group_name_H-M 'I m m m'
_symmetry_Int_Tables_number 71
_symmetry_space_group_name_Hall '-I 2 2'
loop_
_atom_site_label
_atom_site_type_symbol
_atom_site_fract_x
_atom_site_fract_y
_atom_site_fract_z
Ba1 Ba 0.000 0.000 0.000
Y1 Y 0.000 0.500 0.212
In1 In 0.000 0.000 0.500
```


Here is a geometry-optimized Ba2YIn structure from Alexandria. Energies are from GGA-PBE.

Calculated values
magnetization = 0.0021 μB/atom
formation energy = 0.035 eV/atom

```
data_Ba2YIn
_chemical_formula_sum 'Ba8 Y4 In4'
_cell_length_a 8.495
_cell_length_b 8.495
_cell_length_c 8.495
_cell_angle_alpha 90.00
_cell_angle_beta 90.00
_cell_angle_gamma 90.00
_symmetry_space_group_name_H-M 'F -4 3 m'
_symmetry_Int_Tables_number 216
_symmetry_space_group_name_Hall 'F -4 2 3'
loop_
_atom_site_label
_atom_site_type_symbol
_atom_site_fract_x
_atom_site_fract_y
_atom_site_fract_z
Ba1 Ba 0.000 0.000 0.000
Ba2 Ba 0.250 0.250 0.250
Y1 Y 0.000 0.000 0.500
In1 In 0.250 0.250 0.750
```


Here is a geometry-optimized BaY2In structure from Alexandria. Energies are from GGA-PBE.

Calculated values
magnetization = 0.0002 μB/atom
formation energy = -0.041 eV/atom

```
data_BaY2In
_chemical_formula_sum 'Ba2 Y4 In2'
_cell_length_a 13.452
_cell_length_b 4.006
_cell_length_c 5.562
_cell_angle_alpha 90.00
_cell_angle_beta 114.30
_cell_angle_gamma 90.00
_symmetry_space_group_name_H-M 'C 1 m 1'
_symmetry_Int_Tables_number 8
_symmetry_space_group_name_Hall 'C -2y'
loop_
_atom_site_label
_atom_site_type_symbol
_atom_site_fract_x
_atom_site_fract_y
_atom_site_fract_z
Ba1 Ba 0.000 0.000 0.000
Y1 Y 0.212 0.000 0.710
Y2 Y 0.435 0.000 0.436
In1 In 0.238 0.500 0.235
```